Here is a geometry-optimized CaLa2ZnH structure from Alexandria via LeMat-Bulk. Energies are from PBE.

Spin magnetization, Bohr magnetons per cell: 0.0
Calculated volume, A^3/atom: 25.09
Calculated total energy, Ry/atom: -0.2542

Cell: 4.9822 4.9822 5.0531 Å, 90.00 90.00 90.00°
Element x y z (fractional)
H: 0.0000 0.0000 0.0000
Zn: 0.5000 0.5000 0.5000
Ca: 0.0000 0.0000 0.5000
La: 0.0000 0.5000 0.0000
La: 0.5000 0.0000 0.0000



Here is a geometry-optimized KCd6In structure from Alexandria via LeMat-Bulk. Energies are from PBE.

Spin magnetization, Bohr magnetons per cell: 0.0
Distance to the lowest polymorph of the same formula, meV per atom: 25.4
Calculated volume, A^3/atom: 28.45
Formation energy, eV/atom: -0.001
Calculated total energy, Ry/atom: -0.0857

Cell: 4.9309 4.9309 11.1791 Å, 77.26 77.26 60.00°
Element x y z (fractional)
K: 0.5000 0.5000 0.5000
Cd: 0.6261 0.6261 0.1216
Cd: 0.0967 0.0967 0.7099
Cd: 0.9033 0.9033 0.2901
Cd: 0.3739 0.3739 0.8784
Cd: 0.2501 0.2501 0.2496
Cd: 0.7499 0.7499 0.7504
In: 0.0000 0.0000 0.0000



Here is a geometry-optimized Be2RhBr structure from Alexandria via LeMat-Bulk. Energies are from PBE.

Spin magnetization, Bohr magnetons per cell: 0.0
Distance to the lowest polymorph of the same formula, meV per atom: 318.2
Calculated volume, A^3/atom: 13.94
Calculated total energy, Ry/atom: -0.2929
ΔE_f (raw), eV/atom: 0.134

Cell: 6.9465 6.9465 6.9465 Å, 25.77 25.77 25.77°
Element x y z (fractional)
Be: 0.0081 0.0081 0.0081
Be: 0.4919 0.4919 0.4919
Rh: 0.7500 0.7500 0.7500
Br: 0.2500 0.2500 0.2500



Here is a geometry-optimized V2OsCl structure from Alexandria via LeMat-Bulk. Energies are from PBE.

Spin magnetization, Bohr magnetons per cell: 1.0
Distance to the lowest polymorph of the same formula, meV per atom: 44.7
Calculated volume, A^3/atom: 14.39
Calculated total energy, Ry/atom: -0.5318
ΔE_f (raw), eV/atom: 0.593

Cell: 4.3341 4.3341 4.3341 Å, 60.00 60.00 60.00°
Site moments in Bohr magnetons follow the coordinates.
Element x y z (fractional)
V: 0.2500 0.2500 0.2500  0.49
V: 0.7500 0.7500 0.7500  0.49
Os: 0.5000 0.5000 0.5000  -0.11
Cl: 0.0000 0.0000 0.0000  -0.01



Here is a geometry-optimized Pr5TlCu2 structure from Alexandria via LeMat-Bulk. Energies are from PBE.

Spin magnetization, Bohr magnetons per cell: 0.0
Calculated volume, A^3/atom: 28.69
Formation energy, eV/atom: -0.162
Calculated total energy, Ry/atom: -0.3285

Cell: 8.3164 8.3164 8.8679 Å, 117.96 117.96 90.00°
Element x y z (fractional)
Pr: 0.5114 0.7038 0.7152
Pr: 0.7962 0.9886 0.2848
Pr: 0.0000 0.0000 0.0000
Pr: 0.5000 0.5000 0.0000
Pr: 0.2038 0.0114 0.7152
Pr: 0.7038 0.2038 0.7152
Pr: 0.0114 0.5114 0.7152
Pr: 0.2962 0.7962 0.2848
Pr: 0.9886 0.4886 0.2848
Pr: 0.4886 0.2962 0.2848
Tl: 0.7500 0.7500 0.5000
Tl: 0.2500 0.2500 0.5000
Cu: 0.1300 0.3700 0.0000
Cu: 0.6300 0.1300 0.0000
Cu: 0.3700 0.8700 0.0000
Cu: 0.8700 0.6300 0.0000



Here is a geometry-optimized PmNi2PN structure from Alexandria via LeMat-Bulk. Energies are from PBE.

Spin magnetization, Bohr magnetons per cell: 0.0
Calculated volume, A^3/atom: 13.31
Calculated total energy, Ry/atom: -0.5058
ΔE_f (raw), eV/atom: -0.872

Cell: 3.5523 5.8454 6.7256 Å, 90.00 90.00 107.69°
Element x y z (fractional)
Pm: 0.4613 0.9226 0.7500
Pm: 0.5387 0.0774 0.2500
Ni: 0.1735 0.3470 0.9452
Ni: 0.8265 0.6530 0.0548
Ni: 0.1735 0.3470 0.5548
Ni: 0.8265 0.6530 0.4452
P: 0.7324 0.4648 0.7500
P: 0.2676 0.5352 0.2500
N: 0.0000 0.0000 0.0000
N: 0.0000 0.0000 0.5000



> Which formula does entry 4 have?

V2OsCl



> What is the calculated total energy in the fourth record?

-0.5318 Ry/atom